LaNp2CrO8 | PBE+U | relaxed

Summary:
* E_tot: -9.30 eV per atom

Lattice parameters (Å, degrees): 4.970 6.989 4.978 90.00 92.27 90.00
Space group P2/m (No. 10)
Asymmetric unit:
La  0.000  0.000  0.000
Np  0.500  0.263  0.500
Cr  0.000  0.500  0.000
O  0.200  0.283  0.201
O  0.299  0.500  0.702
O  0.327  0.000  0.674